1.
Material: K2CdRh
Method: DFT, PBE
State: relaxed

```
K2CdRh
1.0
-2.179 2.199 -2.077
-2.933 -0.910 2.113
1.951 7.575 5.972
Cd K Rh
1 2 1
Cartesian
-1.269 5.640 3.957
-1.905 3.173 2.011
1.789 6.946 5.476
1.150 4.467 3.522
```

Summary:
- Fermi-level density of states (states/eV/atom) = 0.3723
- energy of formation (eV per atom) = 0.170
- crystal system = tetragonal

=====

2.
Material: OsIF2
Method: DFT, PBE
State: relaxed

```
OsIF2
1.0
6.763 -7.879 0.570
6.500 -7.765 -2.368
8.431 -6.008 -0.989
Os F I
1 2 1
Cartesian
0.000 0.000 0.000
20.365 -20.324 -2.616
1.330 -1.327 -0.171
10.847 -10.826 -1.393
```

Summary:
- Fermi-level density of states (states/eV/atom) = 0.8827
- formation energy from raw total energies (eV/atom) = -0.471
- offset from the most stable computed form (kJ/mol of atoms) = 0.0
- crystal system = trigonal

=====

3.
Material: Zr6IrPd3
Method: DFT, PBE
State: relaxed

```
Zr6IrPd3
1.0
-2.205 -1.876 3.726
4.639 -6.466 -0.511
7.263 4.684 6.655
Pd Zr Ir
6 12 2
Cartesian
1.217 -4.171 1.607
3.631 2.342 3.328
5.232 -0.318 8.910
1.846 -0.528 3.813
7.851 -3.130 6.057
4.466 -3.341 0.960
3.022 -2.967 3.282
4.580 -0.321 2.548
7.581 -2.012 9.446
4.011 0.642 5.684
5.686 -4.300 4.186
6.216 2.327 7.837
5.476 3.492 4.998
4.221 -7.150 4.872
6.675 -0.691 6.588
5.118 -3.337 7.322
2.116 -1.646 0.424
3.481 -5.986 2.033
0.000 0.000 0.000
4.849 -1.829 4.935
```

Summary:
- Fermi-level density of states (states/eV/atom) = 1.0284
- energy of formation (eV per atom) = -0.423
- crystal system = orthorhombic

=====

4.
Material: Tb6BSe5
Method: DFT, PBE
State: relaxed

```
Tb6BSe5
1.0
-1.788 -0.204 -6.807
4.510 -5.601 3.829
-6.410 -0.193 2.908
Tb B Se
6 1 5
Cartesian
-3.185 -3.786 -1.382
0.196 -1.348 -2.245
2.526 -4.457 -0.734
-5.639 -0.730 -3.448
1.950 -5.268 3.378
-0.504 -2.212 1.312
0.000 0.000 0.000
-0.311 -3.927 -1.020
2.255 -2.801 1.914
-1.038 -4.819 2.840
-2.651 -1.179 -2.910
-3.378 -2.071 0.949
```

Summary:
- Fermi-level density of states (states/eV/atom) = 0.4519
- formation energy from raw total energies (eV/atom) = -1.609
- crystal system = monoclinic

=====

5.
Material: SrP2W
Method: DFT, PBE
State: relaxed

```
SrP2W
1.0
0.000 3.313 3.313
3.313 0.000 3.313
3.313 3.313 0.000
W Sr P
1 1 2
Cartesian
3.313 3.313 3.313
0.000 0.000 0.000
4.969 4.969 4.969
1.656 1.656 1.656
```

Summary:
- Fermi-level density of states (states/eV/atom) = 0.8159
- offset from the most stable computed form (kJ/mol of atoms) = 63.8
- energy of formation (eV per atom) = 0.183
- crystal system = cubic

=====

6.
Material: CoNi2Ag
Method: DFT, PBE
State: relaxed

```
CoNi2Ag
1.0
4.564 0.035 0.000
1.577 4.283 0.000
-3.070 -2.159 2.596
Ni Ag Co
2 1 1
Cartesian
0.000 0.000 0.000
0.788 2.141 1.298
3.070 2.159 0.000
2.282 0.018 1.298
```

Summary:
- Fermi-level density of states (states/eV/atom) = 1.0963
- offset from the most stable computed form (kJ/mol of atoms) = 12.6
- energy of formation (eV per atom) = 0.292
- crystal system = tetragonal

=====

7.
Material: Ac19In4Ir6
Method: DFT, PBE
State: relaxed

```
Ac19In4Ir6
1.0
10.590 0.000 -3.744
-5.295 9.171 -3.744
0.000 0.000 11.232
Ac Ir In
19 6 4
Cartesian
1.002 5.920 3.443
8.093 0.141 1.034
6.421 6.938 -2.710
-3.431 5.942 4.852
-1.864 3.229 2.636
-0.669 5.343 -0.301
3.729 0.000 2.636
1.370 2.092 4.778
4.788 3.828 3.213
1.864 3.229 -2.636
3.431 5.942 -4.852
-1.622 9.030 3.541
6.216 3.110 6.958
0.000 0.000 0.000
-1.714 3.251 7.285
4.880 2.233 -0.531
6.861 0.000 4.852
-0.333 7.079 -4.045
3.337 6.061 -0.203
4.341 1.653 5.093
0.739 4.585 6.139
4.556 4.585 -2.395
-1.693 6.238 2.395
6.988 2.933 1.349
0.954 7.518 -1.349
1.702 2.948 1.204
0.000 0.000 7.621
7.185 0.000 -2.540
-3.593 6.223 -2.540
```

Summary:
- Fermi-level density of states (states/eV/atom) = 1.0019
- energy of formation (eV per atom) = -0.416
- crystal system = cubic

=====

8.
Material: Ca3LaBi2S
Method: DFT, PBE
State: relaxed

```
Ca3LaBi2S
1.0
5.452 0.000 0.000
0.000 5.240 0.000
-2.726 -2.620 8.316
S La Ca Bi
1 1 3 2
Cartesian
0.000 0.000 0.000
2.726 0.000 0.000
0.000 2.620 0.000
2.726 2.620 5.438
0.000 0.000 2.878
2.726 2.620 2.260
0.000 0.000 6.056
```

Summary:
- Fermi-level density of states (states/eV/atom) = 0.4649
- formation energy from raw total energies (eV/atom) = -1.089
- crystal system = orthorhombic

=====

9.
Material: VGe2Pb
Method: DFT, PBE
State: relaxed

```
VGe2Pb
1.0
4.642 0.000 0.000
0.000 4.642 0.000
2.321 2.321 8.660
Pb Ge V
2 4 2
Cartesian
0.000 0.000 0.000
4.642 2.321 4.330
2.944 1.161 2.165
3.482 4.019 6.495
1.698 3.482 2.165
5.803 5.265 6.495
2.321 2.321 0.000
2.321 4.642 4.330
```

Summary:
- Fermi-level density of states (states/eV/atom) = 0.7918
- energy of formation (eV per atom) = 0.417
- crystal system = tetragonal

=====

10.
Material: K12As3F5
Method: DFT, PBE
State: relaxed

```
K12As3F5
1.0
15.019 0.000 0.000
-5.006 14.160 0.000
-5.006 -7.080 12.263
F K As
20 48 12
Cartesian
2.503 3.540 6.131
-1.252 0.885 7.664
3.755 2.655 1.533
7.509 0.000 0.000
5.006 7.080 0.000
5.006 -3.540 6.131
6.258 -4.425 10.730
6.258 6.195 4.599
6.258 3.540 9.197
1.252 4.425 10.730
8.761 -0.885 7.664
-3.755 7.965 4.599
0.000 0.000 0.000
-5.006 3.540 6.131
3.755 10.620 3.066
-2.503 7.080 0.000
1.252 -3.540 9.197
-1.252 3.540 3.066
-1.252 11.505 1.533
-2.503 -3.540 6.131
1.246 1.228 7.152
10.755 7.174 2.204
6.253 10.892 3.619
8.185 -1.094 2.513
-0.676 1.094 2.513
4.845 2.500 7.315
5.682 5.986 9.750
6.767 6.986 2.204
-1.828 -0.817 5.823
7.670 4.045 4.640
4.331 -1.911 3.927
3.179 1.911 3.927
0.161 4.580 4.948
-2.664 3.035 7.623
5.749 -1.956 11.242
0.676 8.991 8.335
-1.257 8.308 5.111
3.245 8.942 1.183
3.760 5.852 5.111
2.664 -2.500 7.315
-1.761 0.094 10.059
6.834 7.897 6.440
6.253 2.040 1.492
-0.742 5.218 1.183
7.670 12.615 0.309
-4.845 5.535 11.954
-5.749 -0.094 10.059
-3.749 12.120 1.492
5.749 1.862 11.080
10.174 -3.035 7.623
-5.167 10.115 4.640
1.761 -1.862 11.080
1.761 1.956 11.242
1.828 5.169 8.335
3.245 5.124 1.021
-2.664 -5.535 11.954
8.756 -5.040 10.771
-4.331 6.263 6.440
-0.742 9.036 1.021
11.270 3.268 3.619
-1.246 5.040 10.771
-3.179 8.174 9.750
9.852 1.545 0.309
2.342 9.580 4.948
6.263 -1.228 7.152
-6.263 3.812 8.644
9.337 0.817 5.823
-1.246 -3.812 8.644
-6.258 7.080 9.197
-3.755 2.655 10.730
3.755 7.965 7.664
3.755 0.000 9.197
6.258 0.885 4.599
1.252 7.080 3.066
8.761 9.735 1.533
-3.755 -2.655 10.730
11.264 0.000 3.066
1.252 -0.885 4.599
-1.252 6.195 7.664
8.761 4.425 1.533
```

Summary:
- Fermi-level density of states (states/eV/atom) = 0.4575
- formation energy from raw total energies (eV/atom) = -1.445
- crystal system = cubic

=====

11.
Material: Os4PbSe
Method: DFT, PBE
State: relaxed

```
Os4PbSe
1.0
-4.330 -2.754 1.462
-3.822 -1.056 -3.571
-0.707 -4.989 -1.754
Os Se Pb
4 1 1
Cartesian
-3.317 -3.295 -1.446
-3.672 -5.801 -2.328
-5.237 -3.825 -3.240
-5.492 -4.678 -0.711
0.000 0.000 0.000
-6.644 -6.600 -2.897
```

Summary:
- Fermi-level density of states (states/eV/atom) = 1.7915
- formation energy from raw total energies (eV/atom) = 1.225
- crystal system = cubic

=====

12.
Material: SrCaY2
Method: DFT, PBE
State: relaxed

```
SrCaY2
1.0
-4.227 -3.715 2.046
-0.598 -0.901 5.889
-4.762 2.188 2.895
Y Sr Ca
2 1 1
Cartesian
-2.397 -0.607 2.708
-7.190 -1.821 8.123
-4.793 -1.214 5.415
0.000 0.000 0.000
```

Summary:
- Fermi-level density of states (states/eV/atom) = 2.1537
- offset from the most stable computed form (kJ/mol of atoms) = 14.9
- energy of formation (eV per atom) = 0.238
- crystal system = cubic

=====

Look up the Fermi-level density of states of the sixth one.
1.0963 states/eV/atom